<a>
This record from Alexandria describes crystalline RbRuCl6 at its relaxed geometry. The functional is PBE.

```
16
Lattice="6.843 -0.606 0.194 1.323 6.741 0.194 0.054 0.041 11.328" Properties=species:S:1:pos:R:3 pbc="T T T"
Cl 3.256 4.723 0.709
Cl 6.569 4.909 6.071
Cl 5.470 1.833 6.373
Cl 6.517 4.922 0.407
Cl 3.598 0.104 2.389
Cl 4.964 1.452 11.008
Cl 1.651 1.266 5.645
Cl 2.750 4.343 5.344
Cl 4.623 6.071 9.328
Cl 1.703 1.254 11.309
Cl 7.091 2.729 3.664
Cl 1.129 3.447 8.053
Ru 0.689 3.391 5.761
Ru 3.421 -0.303 0.097
Rb 6.812 -0.480 8.690
Rb 1.409 6.656 3.026
```


<b>
This record from Alexandria describes crystalline RbRuCl6 at its relaxed geometry. The functional is PBE.

```
8
Lattice="-4.131 1.260 5.370 -6.703 -1.556 -0.370 -2.418 -5.774 3.917" Properties=species:S:1:pos:R:3 pbc="T T T"
Cl -8.279 -3.982 7.831
Cl -9.627 -5.457 4.825
Cl -11.790 -4.797 7.638
Cl -4.973 -2.087 1.086
Cl -1.462 -1.273 1.280
Cl -3.626 -0.612 4.092
Rb -6.626 -3.035 4.459
Ru 0.000 0.000 0.000
```


Quick one: most stable of them? <a>


<a>
This record from Alexandria describes crystalline Rb2RuCl2 at its relaxed geometry. The functional is PBE.

```
5
Lattice="-5.680 -3.121 -1.470 0.859 -4.022 5.220 -4.626 -0.740 4.422" Properties=species:S:1:pos:R:3 pbc="T T T"
Rb -3.088 -4.167 5.759
Rb -6.358 -3.716 2.414
Cl -5.983 -5.657 5.087
Cl -3.463 -2.226 3.086
Ru 0.000 0.000 0.000
```

Properties
D(E_F), states/eV per cell: 7.10


<b>
This record from Alexandria describes crystalline Rb2RuCl2 at its relaxed geometry. The functional is PBE.

```
10
Lattice="-2.038 -3.620 -5.927 5.730 -4.367 0.697 -2.791 -3.197 2.912" Properties=species:S:1:pos:R:3 pbc="T T T"
Rb -1.169 -3.528 -0.446
Rb 2.061 -5.062 0.966
Rb 2.070 -7.656 -1.872
Rb -1.160 -6.122 -3.284
Ru 1.846 -3.993 -2.615
Ru 0.000 0.000 0.000
Cl 1.494 -2.052 -0.820
Cl 2.198 -5.935 -4.410
Cl -0.367 -3.219 -3.886
Cl 4.059 -4.768 -1.343
```

Properties
D(E_F), states/eV per cell: 7.72


Quick one: most stable of them? <a>


<a>
This record from Alexandria describes crystalline RbRuS2Cl at its relaxed geometry. The functional is PBE.

```
5
Lattice="-4.653 -2.785 2.017 3.401 -3.232 3.385 -0.499 3.878 4.204" Properties=species:S:1:pos:R:3 pbc="T T T"
Ru -0.875 -1.069 4.803
Rb 0.000 0.000 0.000
S -2.327 -1.392 1.008
S 1.701 -1.616 1.693
Cl -0.249 1.939 2.102
```

Properties
D(E_F), states/eV per cell: 7.20


<b>
This record from Alexandria describes crystalline RbRuS2Cl at its relaxed geometry. The functional is PBE.

```
5
Lattice="-3.461 2.518 -1.678 -2.604 -1.180 3.600 1.868 4.436 2.805" Properties=species:S:1:pos:R:3 pbc="T T T"
Cl 0.934 2.218 1.402
S -1.730 1.259 -0.839
S -1.302 -0.590 1.800
Rb -2.098 2.887 2.364
Ru 0.000 0.000 0.000
```

Properties
D(E_F), states/eV per cell: 4.45


Quick one: most stable of them? <b>


<a>
This record from Alexandria describes crystalline RbS2Cl at its relaxed geometry. The functional is PBE.

```
4
Lattice="2.448 0.000 8.879 -1.224 2.120 8.879 -1.224 -2.120 8.879" Properties=species:S:1:pos:R:3 pbc="T T T"
S 0.000 0.000 24.427
S 0.000 0.000 2.211
Cl 0.000 0.000 0.000
Rb 0.000 0.000 13.319
```

Properties
D(E_F), states/eV per cell: 3.84


<b>
This record from Alexandria describes crystalline RbS2Cl at its relaxed geometry. The functional is PBE.

```
8
Lattice="-5.338 3.739 2.806 -2.114 -5.729 3.613 -0.306 0.549 7.657" Properties=species:S:1:pos:R:3 pbc="T T T"
S -3.386 -2.050 5.218
S -3.547 -1.753 9.044
S -2.355 0.832 3.425
S -6.226 0.088 10.465
Rb -4.685 1.646 6.836
Rb 0.000 0.000 0.000
Cl -3.073 -3.088 7.240
Cl -3.726 -0.995 3.209
```

Properties
D(E_F), states/eV per cell: 0.00


<c>
This record from Alexandria describes crystalline RbS2Cl at its relaxed geometry. The functional is PBE.

```
4
Lattice="3.192 5.496 0.373 3.553 2.958 4.377 6.100 1.739 0.552" Properties=species:S:1:pos:R:3 pbc="T T T"
Cl 6.423 5.096 2.651
S 2.312 1.834 0.954
S 10.534 8.358 4.348
Rb 0.000 0.000 0.000
```

Properties
D(E_F), states/eV per cell: 2.33


<d>
This record from Alexandria describes crystalline RbS2Cl at its relaxed geometry. The functional is PBE.

```
4
Lattice="5.389 -0.666 0.601 2.034 -1.605 4.810 2.089 -5.019 0.545" Properties=species:S:1:pos:R:3 pbc="T T T"
Rb 4.756 -3.645 2.978
Cl 0.000 0.000 0.000
S 7.134 -5.467 4.468
S 2.378 -1.822 1.489
```

Properties
D(E_F), states/eV per cell: 3.32


Quick one: most stable of them? <c>


<a>
This record from Alexandria describes crystalline Rb2SCl at its relaxed geometry. The functional is PBE.

```
4
Lattice="3.845 0.000 0.000 0.000 3.845 0.000 0.000 0.000 8.555" Properties=species:S:1:pos:R:3 pbc="T T T"
S 1.922 1.922 4.277
Rb 0.000 0.000 2.025
Rb 0.000 0.000 6.530
Cl 1.922 1.922 0.000
```

Properties
D(E_F), states/eV per cell: 2.69


<b>
This record from Alexandria describes crystalline Rb2SCl at its relaxed geometry. The functional is PBE.

```
4
Lattice="0.103 -4.534 -3.496 -4.596 -1.278 -3.168 0.132 0.762 -5.674" Properties=species:S:1:pos:R:3 pbc="T T T"
Rb -1.090 -1.263 -3.084
Rb -3.271 -3.788 -9.253
S 0.000 0.000 0.000
Cl -2.181 -2.525 -6.169
```

Properties
D(E_F), states/eV per cell: 12.81


Quick one: most stable of them? <a>


<a>
This record from Alexandria describes crystalline Rb3SCl at its relaxed geometry. The functional is PBE.

```
5
Lattice="6.295 0.000 0.000 0.000 6.295 0.000 0.000 0.000 6.295" Properties=species:S:1:pos:R:3 pbc="T T T"
S 0.000 0.000 0.000
Rb 3.148 0.000 0.000
Rb 0.000 0.000 3.148
Rb 0.000 3.148 0.000
Cl 3.148 3.148 3.148
```

Properties
D(E_F), states/eV per cell: 0.00


<b>
This record from Alexandria describes crystalline Rb3SCl at its relaxed geometry. The functional is PBE.

```
20
Lattice="-4.140 -6.174 4.643 1.893 -6.476 -7.510 8.961 -4.370 1.593" Properties=species:S:1:pos:R:3 pbc="T T T"
Rb 7.978 -13.180 -1.607
Rb -1.892 -6.498 4.511
Rb 8.606 -10.522 -5.786
Rb 4.583 -10.226 -0.801
Rb -1.264 -3.841 0.332
Rb 6.286 -7.249 -3.595
Rb 4.743 -13.257 -3.393
Rb 2.131 -6.794 -0.474
Rb 9.417 -9.394 -2.361
Rb -2.703 -7.627 1.087
Rb 1.970 -3.764 2.118
Rb 0.428 -9.772 2.320
S 6.451 -10.499 -3.359
S 0.262 -6.521 2.085
S 1.601 -3.652 -1.178
S 5.112 -13.369 -0.097
Cl 1.735 -7.758 -5.220
Cl 4.979 -9.262 3.946
Cl 1.241 -10.376 -0.868
Cl 5.472 -6.645 -0.406
```


Quick one: most stable of them? <b>


<a>
This record from Alexandria describes crystalline RbSeSCl2 at its relaxed geometry. The functional is PBE.

```
5
Lattice="5.342 0.000 0.000 0.000 5.342 0.000 0.000 0.000 4.868" Properties=species:S:1:pos:R:3 pbc="T T T"
S 0.000 0.000 2.434
Cl 2.671 0.000 0.000
Cl 0.000 2.671 0.000
Rb 2.671 2.671 2.434
Se 0.000 0.000 0.000
```

Properties
D(E_F), states/eV per cell: 2.92


<b>
This record from Alexandria describes crystalline RbSeSCl2 at its relaxed geometry. The functional is PBE.

```
5
Lattice="-5.362 3.094 0.742 -1.634 -1.428 -5.845 -2.797 -5.349 2.089" Properties=species:S:1:pos:R:3 pbc="T T T"
Cl -0.817 -0.714 -2.922
Cl -2.681 1.547 0.371
Se -4.896 -1.842 -1.507
S -1.399 -2.674 1.045
Rb 0.000 0.000 0.000
```

Properties
D(E_F), states/eV per cell: 7.87


Quick one: most stable of them? <a>


<a>
This record from Alexandria describes crystalline RbSeS2Cl at its relaxed geometry. The functional is PBE.

```
5
Lattice="4.894 0.000 0.000 0.000 4.894 0.000 0.000 0.000 5.518" Properties=species:S:1:pos:R:3 pbc="T T T"
Rb 2.447 2.447 2.759
Cl 0.000 0.000 2.759
Se 0.000 0.000 0.000
S 0.000 2.447 0.000
S 2.447 0.000 0.000
```

Properties
D(E_F), states/eV per cell: 1.52


<b>
This record from Alexandria describes crystalline RbSeS2Cl at its relaxed geometry. The functional is PBE.

```
5
Lattice="-3.002 4.368 -3.764 -4.311 -4.519 -1.806 -3.632 1.577 4.726" Properties=species:S:1:pos:R:3 pbc="T T T"
Rb 0.000 0.000 0.000
S -2.156 -2.259 -0.903
S -1.501 2.184 -1.882
Cl -1.816 0.788 2.363
Se -5.472 0.713 -0.422
```

Properties
D(E_F), states/eV per cell: 6.46


Quick one: most stable of them? <a>


<a>
This record from Alexandria describes crystalline RbSiSCl2 at its relaxed geometry. The functional is PBE.

```
5
Lattice="-4.927 1.502 -0.708 -0.765 -4.022 -3.204 -1.282 -2.552 3.510" Properties=species:S:1:pos:R:3 pbc="T T T"
Rb -3.487 -2.536 -0.201
Cl -2.464 0.751 -0.354
Cl -0.383 -2.011 -1.602
S -0.641 -1.276 1.755
Si 0.000 0.000 0.000
```

Properties
D(E_F), states/eV per cell: 0.86


<b>
This record from Alexandria describes crystalline RbSiSCl2 at its relaxed geometry. The functional is PBE.

```
5
Lattice="5.736 0.000 0.000 0.000 5.736 0.000 0.000 0.000 5.428" Properties=species:S:1:pos:R:3 pbc="T T T"
Cl 0.000 2.868 0.000
Cl 2.868 0.000 0.000
Rb 0.000 0.000 0.000
S 0.000 0.000 2.714
Si 2.868 2.868 2.714
```

Properties
D(E_F), states/eV per cell: 2.58


Quick one: most stable of them? <a>


<a>
This record from Alexandria describes crystalline RbSnS2Cl at its relaxed geometry. The functional is PBE.

```
5
Lattice="5.054 0.000 0.000 0.000 5.054 0.000 0.000 0.000 5.577" Properties=species:S:1:pos:R:3 pbc="T T T"
S 2.527 0.000 0.000
S 0.000 2.527 0.000
Rb 2.527 2.527 2.788
Sn 0.000 0.000 0.000
Cl 0.000 0.000 2.788
```

Properties
D(E_F), states/eV per cell: 0.60


<b>
This record from Alexandria describes crystalline RbSnS2Cl at its relaxed geometry. The functional is PBE.

```
5
Lattice="-4.226 -3.188 1.151 3.057 -2.789 3.497 -1.541 3.551 4.179" Properties=species:S:1:pos:R:3 pbc="T T T"
Rb 0.000 0.000 0.000
Sn -1.355 -1.213 4.414
Cl -0.770 1.776 2.090
S -2.113 -1.594 0.576
S 1.528 -1.395 1.748
```

Properties
D(E_F), states/eV per cell: 3.03


Quick one: most stable of them? <a>


<a>
This record from Alexandria describes crystalline RbSnSCl2 at its relaxed geometry. The functional is PBE.

```
5
Lattice="-2.489 -1.738 -4.834 4.990 0.455 -2.733 1.147 -5.103 1.244" Properties=species:S:1:pos:R:3 pbc="T T T"
Rb 0.000 0.000 0.000
S 0.573 -2.552 0.622
Cl 2.495 0.227 -1.367
Cl -1.245 -0.869 -2.417
Sn 1.824 -3.193 -3.161
```

Properties
D(E_F), states/eV per cell: 1.86


<b>
This record from Alexandria describes crystalline RbSnSCl2 at its relaxed geometry. The functional is PBE.

```
5
Lattice="-0.576 1.629 5.246 1.371 -5.065 1.724 4.822 1.344 0.112" Properties=species:S:1:pos:R:3 pbc="T T T"
S 2.411 0.672 0.056
Cl 0.686 -2.532 0.862
Cl -0.288 0.815 2.623
Rb 2.808 -1.046 3.541
Sn 0.000 0.000 0.000
```

Properties
D(E_F), states/eV per cell: 0.68


Quick one: most stable of them? <b>


<a>
This record from Alexandria describes crystalline RbTcSCl2 at its relaxed geometry. The functional is PBE.

```
5
Lattice="-3.851 -4.067 -1.119 4.107 -3.269 -2.250 0.906 -2.187 4.832" Properties=species:S:1:pos:R:3 pbc="T T T"
Cl -1.925 -2.033 -0.559
Cl 2.053 -1.635 -1.125
Rb 0.000 0.000 0.000
S 0.453 -1.094 2.416
Tc 0.581 -4.762 0.731
```

Properties
D(E_F), states/eV per cell: 0.47


<b>
This record from Alexandria describes crystalline RbTcSCl2 at its relaxed geometry. The functional is PBE.

```
5
Lattice="-0.293 3.123 -4.092 1.096 -3.967 -3.106 -4.393 -0.914 -0.383" Properties=species:S:1:pos:R:3 pbc="T T T"
Cl -0.146 1.562 -2.046
Cl 0.548 -1.984 -1.553
S -2.197 -0.457 -0.191
Tc 0.000 0.000 0.000
Rb -1.795 -0.879 -3.791
```

Properties
D(E_F), states/eV per cell: 2.47


Quick one: most stable of them? <b>